A plane-wave DFT calculation with PBE was carried out for Tb3Te2Pb after structural relaxation.

Properties
total magnetic moment = 0.0 μB/f.u.
raw formation energy = -1.112 eV per atom
energy relative to the lowest polymorph listed for this composition = 0.0000 eV per atom

Cell: 7.6459 7.6459 7.6459 Å, 120.03 99.63 99.63°
Positions (direct):
1 Tb 0.0012 0.1777 0.3390
2 Tb 0.5012 0.3390 0.1777
3 Tb 0.0000 0.5000 0.0000
4 Tb 0.9988 0.8223 0.6610
5 Tb 0.5000 0.0000 0.5000
6 Tb 0.4988 0.6610 0.8223
7 Te 0.2500 0.9172 0.0828
8 Te 0.2500 0.2475 0.7525
9 Te 0.7500 0.0828 0.9172
10 Te 0.7500 0.7525 0.2475
11 Pb 0.2500 0.5858 0.4142
12 Pb 0.7500 0.4142 0.5858